1.
## LiCa2Te (GGA-PBE)

Data for LiCa2Te after structural relaxation.

Calculated values
As for the crystal system: orthorhombic. The uncorrected formation energy is -2.82 eV/f.u. Its density of states at the Fermi level is 2.21 states/eV per cell. For the total DFT energy (no corrections), the calculation gives -11.87 eV per formula unit.

a = 4.030 Å, b = 4.050 Å, c = 7.186 Å
α = 90.00°, β = 90.00°, γ = 90.00°
Fractional coordinates of all 4 atoms:
Li: 0.000 0.000 0.000
Ca: 0.500 0.500 0.252
Ca: 0.500 0.500 0.748
Te: 0.000 0.000 0.500

2.
## Sm5Si2Ge5 (GGA-PBE)

Data for Sm5Si2Ge5 after structural relaxation.

Calculated values
As for the crystal system: monoclinic. The uncorrected formation energy is -8.64 eV/f.u. Its density of states at the Fermi level is 5.75 states/eV per cell. For the total DFT energy (no corrections), the calculation gives -66.17 eV per formula unit.

a = 7.724 Å, b = 7.724 Å, c = 11.623 Å
α = 128.00°, β = 128.00°, γ = 31.08°
Fractional coordinates of all 12 atoms:
Sm: 0.000 0.000 0.000
Sm: 0.113 0.113 0.429
Sm: 0.206 0.206 0.837
Sm: 0.794 0.794 0.163
Sm: 0.887 0.887 0.571
Si: 0.358 0.358 0.740
Si: 0.642 0.642 0.260
Ge: 0.256 0.256 0.313
Ge: 0.438 0.438 0.153
Ge: 0.500 0.500 0.500
Ge: 0.562 0.562 0.847
Ge: 0.744 0.744 0.687

3.
## SrHoTc2O8 (GGA-PBE)

Data for SrHoTc2O8 after structural relaxation.

Calculated values
As for the crystal system: trigonal. The uncorrected formation energy is -24.68 eV/f.u. Its density of states at the Fermi level is 8.24 states/eV per cell. For the total DFT energy (no corrections), the calculation gives -91.34 eV per formula unit.

a = 5.901 Å, b = 5.901 Å, c = 7.149 Å
α = 90.00°, β = 90.00°, γ = 120.00°
Fractional coordinates of all 12 atoms:
Sr: 0.000 0.000 0.000
Ho: 0.000 0.000 0.500
Tc: 0.333 0.667 0.788
Tc: 0.667 0.333 0.212
O: 0.163 0.325 0.710
O: 0.163 0.837 0.710
O: 0.325 0.163 0.290
O: 0.333 0.667 0.035
O: 0.667 0.333 0.965
O: 0.675 0.837 0.710
O: 0.837 0.163 0.290
O: 0.837 0.675 0.290

4.
## CeTm2Fe (GGA-PBE)

Data for CeTm2Fe after structural relaxation.

Calculated values
As for the crystal system: tetragonal. Its density of states at the Fermi level is 7.52 states/eV per cell. For the total DFT energy (no corrections), the calculation gives -23.05 eV per formula unit. The formation energy is 0.072 eV/atom.

a = 3.289 Å, b = 3.289 Å, c = 8.917 Å
α = 90.00°, β = 90.00°, γ = 90.00°
Fractional coordinates of all 4 atoms:
Ce: 0.000 0.000 0.000
Tm: 0.500 0.500 0.322
Tm: 0.500 0.500 0.678
Fe: 0.000 0.000 0.500

5.
## CrTcPb (GGA-PBE)

Data for CrTcPb after structural relaxation.

Calculated values
As for the crystal system: trigonal. Its density of states at the Fermi level is 3.32 states/eV per cell. For the total DFT energy (no corrections), the calculation gives -21.47 eV per formula unit. The formation energy is 0.742 eV/atom.

a = 4.401 Å, b = 4.401 Å, c = 3.171 Å
α = 90.00°, β = 90.00°, γ = 120.00°
Fractional coordinates of all 3 atoms:
Cr: 0.000 0.000 0.000
Tc: 0.333 0.667 0.808
Pb: 0.667 0.333 0.375

6.
## TbSm2As (GGA-PBE)

Data for TbSm2As after structural relaxation.

Calculated values
As for the crystal system: trigonal. Its density of states at the Fermi level is 14.56 states/eV per cell. For the total DFT energy (no corrections), the calculation gives -21.00 eV per formula unit. The formation energy is -0.572 eV/atom.

a = 3.919 Å, b = 3.919 Å, c = 28.682 Å
α = 90.00°, β = 90.00°, γ = 120.00°
Fractional coordinates of all 12 atoms:
Tb: 0.000 0.000 0.000
Tb: 0.333 0.667 0.667
Tb: 0.667 0.333 0.333
Sm: 0.000 0.000 0.229
Sm: 0.000 0.000 0.771
Sm: 0.333 0.667 0.438
Sm: 0.333 0.667 0.895
Sm: 0.667 0.333 0.105
Sm: 0.667 0.333 0.562
As: 0.000 0.000 0.500
As: 0.333 0.667 0.167
As: 0.667 0.333 0.833